## LaBe2Ni (GGA-PBE)

Data for LaBe2Ni after structural relaxation.

The formation energy comes out at 0.490 eV/atom. Its raw total energy is -16.20 eV/f.u. Its energy above the most stable polymorph in this dataset is 688 meV/atom. The value obtained for the density of states at the Fermi level is 2.4 states/eV/cell.

It has space group Pmmm (No. 47), with a = 3.6971 Å, b = 3.8950 Å, c = 4.7442 Å, α = 90.00°, β = 90.00° and γ = 90.00°. Symmetry generates all atoms from La at (0.0000, 0.0000, 0.0000), Be at (0.0000, 0.5000, 0.5000), Be at (0.5000, 0.0000, 0.5000) and Ni at (0.5000, 0.5000, 0.0000).

## LaBe2Ni (GGA-PBE)

Data for LaBe2Ni after structural relaxation.

The formation energy comes out at 0.126 eV/atom. Its raw total energy is -17.66 eV/f.u. Its energy above the most stable polymorph in this dataset is 324 meV/atom. The value obtained for the density of states at the Fermi level is 3.1 states/eV/cell.

It has space group Pmm2 (No. 25), with a = 2.8859 Å, b = 3.0338 Å, c = 6.7401 Å, α = 90.00°, β = 90.00° and γ = 90.00°. Symmetry generates all atoms from La at (0.0000, 0.0000, 0.0000), Be at (0.0000, 0.0000, 0.4796), Be at (0.5000, 0.5000, 0.6502) and Ni at (0.5000, 0.5000, 0.3299).

## LaBeNi (GGA-PBE)

Data for LaBeNi after structural relaxation.

The formation energy comes out at -0.164 eV/atom. Its raw total energy is -14.93 eV/f.u. Its energy above the most stable polymorph in this dataset is 0 meV/atom. The value obtained for the density of states at the Fermi level is 2.2 states/eV/cell.

It has space group P-6m2 (No. 187), with a = 4.0242 Å, b = 4.0242 Å, c = 4.0087 Å, α = 90.00°, β = 90.00° and γ = 120.00°. Symmetry generates all atoms from La at (0.0000, 0.0000, 0.0000), Be at (0.6667, 0.3333, 0.5000) and Ni at (0.3333, 0.6667, 0.5000).